# 1
Computed, not measured: Cu2OsPt at its PBEsol-relaxed geometry at the meta-GGA SCAN level of DFT.

Unit cell a=8.6209 b=8.6209 c=8.6209 alpha=17.86 beta=17.86 gamma=17.86
Positions (direct):
1 Cu 0.0000 0.0000 0.0000
2 Cu 0.2560 0.2560 0.2560
3 Os 0.7497 0.7497 0.7497
4 Pt 0.5044 0.5044 0.5044

Output
Total moment   0.00 μB/f.u.
Calculated volume   52.6 Å³/cell
ΔE_f   0.146 eV/atom
Symmetry   R3m, No. 160

---

# 2
Computed, not measured: Cu2OsPt at its PBEsol-relaxed geometry at the meta-GGA SCAN level of DFT.

Unit cell a=2.6254 b=2.6254 c=8.7905 alpha=90.00 beta=90.00 gamma=118.12
Positions (direct):
1 Cu 0.0000 0.0000 0.2485
2 Cu 0.0000 0.0000 0.7515
3 Os 0.5000 0.5000 0.0000
4 Pt 0.5000 0.5000 0.5000

Output
Total moment   0.00 μB/f.u.
Calculated volume   53.4 Å³/cell
ΔE_f   0.195 eV/atom
Symmetry   Cmmm, No. 65

---

Look up the ΔE_f of the second one. 0.195 eV/atom

---

What is the formula in the first record? Cu2OsPt

---

What is the calculated volume in the first record? 52.6 Å³/cell